# 1
# Ca2MgSi2Ir5

An optimized crystal structure of Ca2MgSi2Ir5 (PBE-GGA, the Alexandria database).

Lattice parameters (Å, degrees): 3.220 10.146 10.146 90.00 90.00 90.00
Atoms (fractional coordinates):
Ca (0.000, 0.675, 0.175)
Ca (0.000, 0.325, 0.825)
Ca (0.000, 0.175, 0.325)
Ca (0.000, 0.825, 0.675)
Mg (0.000, 0.000, 0.000)
Mg (0.000, 0.500, 0.500)
Si (0.000, 0.127, 0.627)
Si (0.000, 0.873, 0.373)
Si (0.000, 0.627, 0.873)
Si (0.000, 0.373, 0.127)
Ir (0.500, 0.211, 0.066)
Ir (0.500, 0.789, 0.934)
Ir (0.500, 0.066, 0.789)
Ir (0.500, 0.711, 0.434)
Ir (0.500, 0.934, 0.211)
Ir (0.500, 0.289, 0.566)
Ir (0.500, 0.566, 0.711)
Ir (0.500, 0.434, 0.289)
Ir (0.500, 0.500, 0.000)
Ir (0.500, 0.000, 0.500)

Computed properties:
**Crystal system**: tetragonal
**Magnetic moment**: 0.000 μB/f.u.
**ΔE_f (raw)**: -0.59 eV per atom
**SG**: P4/mbm

=====

# 2
# SmZrNO2

An optimized crystal structure of SmZrNO2 (PBE-GGA, the Alexandria database).

Lattice parameters (Å, degrees): 5.703 5.834 8.333 90.00 90.00 90.00
Atoms (fractional coordinates):
Sm (0.485, 0.544, 0.250)
Sm (0.015, 0.044, 0.250)
Sm (0.515, 0.456, 0.750)
Sm (0.985, 0.956, 0.750)
Zr (0.500, 0.000, 0.000)
Zr (0.000, 0.500, 0.500)
Zr (0.500, 0.000, 0.500)
Zr (0.000, 0.500, 0.000)
N (0.407, 0.955, 0.250)
N (0.093, 0.455, 0.250)
N (0.593, 0.045, 0.750)
N (0.907, 0.545, 0.750)
O (0.826, 0.824, 0.044)
O (0.674, 0.324, 0.456)
O (0.174, 0.176, 0.544)
O (0.326, 0.676, 0.956)
O (0.174, 0.176, 0.956)
O (0.326, 0.676, 0.544)
O (0.826, 0.824, 0.456)
O (0.674, 0.324, 0.044)

Computed properties:
**Crystal system**: orthorhombic
**Magnetic moment**: 0.000 μB/f.u.
**ΔE_f (raw)**: -2.67 eV per atom
**SG**: Pnma

=====

# 3
# Na2LaAu4

An optimized crystal structure of Na2LaAu4 (PBE-GGA, the Alexandria database).

Lattice parameters (Å, degrees): 4.745 3.757 10.090 100.73 103.60 90.00
Atoms (fractional coordinates):
Na (0.805, 0.805, 0.609)
Na (0.195, 0.195, 0.391)
La (0.500, 0.000, 0.000)
Au (0.644, 0.644, 0.288)
Au (0.356, 0.356, 0.712)
Au (0.071, 0.571, 0.143)
Au (0.929, 0.429, 0.857)

Computed properties:
**Crystal system**: orthorhombic
**Magnetic moment**: 0.000 μB/f.u.
**Formation enthalpy at 0 K**: -483 meV per atom
**SG**: Immm

=====

# 4
# SiSO2F

An optimized crystal structure of SiSO2F (PBE-GGA, the Alexandria database).

Lattice parameters (Å, degrees): 3.600 3.600 5.084 90.00 90.00 90.00
Atoms (fractional coordinates):
S (0.000, 0.000, 0.000)
Si (0.500, 0.500, 0.500)
O (0.000, 0.500, 0.000)
O (0.500, 0.000, 0.000)
F (0.000, 0.000, 0.500)

Computed properties:
**Crystal system**: tetragonal
**Magnetic moment**: 0.000 μB/f.u.
**ΔE_f (raw)**: -0.02 eV per atom
**SG**: P4/mmm

=====

# 5
# Tb2Y2Hg

An optimized crystal structure of Tb2Y2Hg (PBE-GGA, the Alexandria database).

Lattice parameters (Å, degrees): 5.082 5.082 12.938 101.33 101.33 90.00
Atoms (fractional coordinates):
Tb (0.423, 0.923, 0.847)
Tb (0.673, 0.673, 0.347)
Tb (0.327, 0.327, 0.653)
Tb (0.077, 0.577, 0.153)
Y (0.822, 0.822, 0.643)
Y (0.572, 0.072, 0.143)
Y (0.928, 0.428, 0.857)
Y (0.178, 0.178, 0.357)
Hg (0.500, 0.500, 0.000)
Hg (0.250, 0.750, 0.500)

Computed properties:
**Crystal system**: tetragonal
**Magnetic moment**: 1.300 μB/f.u.
**Formation enthalpy at 0 K**: -50 meV per atom
**SG**: I4_1/amd

=====

# 6
# ZrBe2Os

An optimized crystal structure of ZrBe2Os (PBE-GGA, the Alexandria database).

Lattice parameters (Å, degrees): 3.369 3.207 4.984 71.23 90.00 90.00
Atoms (fractional coordinates):
Be (0.000, 0.175, 0.025)
Be (0.500, 0.057, 0.260)
Os (0.000, 0.481, 0.413)
Zr (0.500, 0.787, 0.802)

Computed properties:
**ΔE to the lowest computed polymorph**: 0 meV per atom
**Crystal system**: orthorhombic
**Magnetic moment**: 0.000 μB/f.u.
**Formation enthalpy at 0 K**: -344 meV per atom
**SG**: Amm2

=====

# 7
# Tb4PbSe2S

An optimized crystal structure of Tb4PbSe2S (PBE-GGA, the Alexandria database).

Lattice parameters (Å, degrees): 4.155 7.212 7.217 70.54 90.00 90.00
Atoms (fractional coordinates):
Tb (0.000, 0.742, 0.766)
Tb (0.000, 0.258, 0.234)
Tb (0.500, 0.756, 0.234)
Tb (0.500, 0.244, 0.766)
Pb (0.000, 0.500, 0.500)
Se (0.000, 0.000, 0.000)
Se (0.500, 0.000, 0.500)
S (0.500, 0.500, 0.000)

Computed properties:
**Crystal system**: monoclinic
**Magnetic moment**: 0.000 μB/f.u.
**ΔE_f (raw)**: -1.48 eV per atom
**SG**: P2/m

=====

# 8
# HoNbRu

An optimized crystal structure of HoNbRu (PBE-GGA, the Alexandria database).

Lattice parameters (Å, degrees): 3.273 3.273 5.920 106.05 106.05 90.00
Atoms (fractional coordinates):
Ru (0.683, 0.683, 0.366)
Nb (0.311, 0.311, 0.622)
Ho (0.006, 0.006, 0.012)

Computed properties:
**ΔE to the lowest computed polymorph**: 75 meV per atom
**Crystal system**: tetragonal
**Magnetic moment**: 0.000 μB/f.u.
**Formation enthalpy at 0 K**: -156 meV per atom
**SG**: I4mm

=====

> Look up the magnetic moment of the fourth one.

0.000 μB/f.u.